# 1
Computed, not measured: an optimized crystal structure of Ba2ZrHg at the PBE level of DFT.

## Properties
Energy of formation: 180 meV/atom
SG: Pm (6)
Uncorrected energy: -0.1100 Ha/atom
Total magnetization: 0.00 μB/f.u.

Structure (POSCAR):
```
Ba2ZrHg
1.0
5.239 0.000 0.000
0.000 3.973 0.006
0.000 1.971 7.178
Ba Hg Zr
2 1 1
Cartesian
0.000 5.698 6.706
2.620 1.734 2.242
0.000 3.719 3.786
2.620 3.711 5.225
```

=====

# 2
Computed, not measured: an optimized crystal structure of PrB6Ir12 at the PBE level of DFT.

## Properties
Energy of formation: -278 meV/atom
SG: R-3m (166)
Uncorrected energy: -0.3026 Ha/atom
Total magnetization: 0.00 μB/f.u.

Structure (POSCAR):
```
PrB6Ir12
1.0
6.558 0.023 0.032
-1.604 6.359 0.032
-1.604 -2.065 6.014
Pr B Ir
1 6 12
Cartesian
0.000 0.000 0.000
3.624 1.001 1.409
0.071 0.092 4.013
0.071 3.759 1.409
3.279 4.224 2.065
-0.273 3.315 4.669
3.279 0.557 4.669
4.653 -0.154 3.039
3.569 2.393 3.371
1.434 1.847 4.935
1.916 0.265 2.707
1.916 2.469 1.143
-0.218 1.922 2.707
-1.302 1.396 5.221
1.675 5.231 0.856
-1.302 4.470 3.039
4.653 2.920 0.856
1.675 -0.916 5.221
1.434 4.050 3.371
```

=====

# 3
Computed, not measured: an optimized crystal structure of PmHo2Mg5 at the PBE level of DFT.

## Properties
Energy of formation: -82 meV/atom
SG: I4/mmm (139)
Uncorrected energy: -0.1035 Ha/atom
Total magnetization: 0.00 μB/f.u.

Structure (POSCAR):
```
PmHo2Mg5
1.0
-2.634 -4.116 -1.953
4.349 -2.945 0.341
-2.817 1.451 7.834
Pm Ho Mg
1 2 5
Cartesian
0.000 0.000 0.000
-0.093 -4.539 2.601
-1.010 -1.072 3.622
0.857 -3.531 -0.806
-2.799 -3.631 4.339
0.692 -3.045 5.485
1.697 -1.979 1.884
-1.795 -2.565 0.737
```

=====

# 4
Computed, not measured: an optimized crystal structure of Li2Ce2YPb2 at the PBE level of DFT.

## Properties
Energy of formation: -300 meV/atom
SG: R-3m (166)
Uncorrected energy: -0.1663 Ha/atom
Total magnetization: 2.53 μB/f.u.

Structure (POSCAR):
```
Li2Ce2YPb2
1.0
4.668 0.000 0.000
2.334 4.043 0.000
2.334 1.348 9.191
Li Ce Y Pb
2 2 1 2
Cartesian
4.668 2.695 2.145
4.668 2.695 7.046
2.334 1.348 5.222
7.002 4.043 3.969
0.000 0.000 0.000
7.002 4.043 7.377
2.334 1.348 1.814
```